(1)
Density functional theory data (GGA-PBE) for crystalline NdZn2GaCu2 at its relaxed geometry.

Values from the calculation:
Total magnetic moment = 0.00 μB/atom
Uncorrected energy = -3.32 eV per atom

a b c (Å): 5.2997 5.2997 4.1729
angles (deg): 90.00 90.00 120.12
Closest atoms and distances in Å follow each position.
Fractional coordinates of all 6 atoms:
Zn 0.5000 0.0000 0.5000  4 Cu 2.59, 2 Zn 2.64, 2 Ga 2.65
Zn 0.0000 0.5000 0.5000  4 Cu 2.59, 2 Zn 2.64, 2 Ga 2.65
Nd 0.5000 0.5000 0.0000  6 Cu 3.06, 4 Ga 3.37, 8 Zn 3.37
Cu 0.1666 0.8334 0.0000  4 Zn 2.59, 2 Ga 2.59
Cu 0.8334 0.1666 0.0000  4 Zn 2.59, 2 Ga 2.59
Ga 0.0000 0.0000 0.5000  4 Cu 2.59, 4 Zn 2.65


(2)
Density functional theory data (GGA-PBE) for crystalline GaCu2Ni at its relaxed geometry.

Values from the calculation:
Total magnetic moment = 0.00 μB/atom
Uncorrected energy = -4.18 eV per atom

a b c (Å): 4.1749 5.0557 4.5839
angles (deg): 90.00 90.00 90.00
Closest atoms and distances in Å follow each position.
Fractional coordinates of all 8 atoms:
Ga 0.5000 0.5000 0.1546  4 Ni 2.52-2.53, 8 Cu 2.59-2.62
Ga 0.0000 0.0000 0.8454  4 Ni 2.52-2.53, 8 Cu 2.59-2.62
Ni 0.0000 0.5000 0.8470  4 Ga 2.52-2.53, 8 Cu 2.59-2.62
Ni 0.5000 0.0000 0.1530  4 Ga 2.52-2.53, 8 Cu 2.59-2.62
Cu 0.0000 0.2502 0.3453  4 Cu 2.52-2.53, 4 Ga 2.59-2.62, 4 Ni 2.59-2.62
Cu 0.5000 0.7502 0.6547  4 Cu 2.52-2.53, 4 Ga 2.59-2.62, 4 Ni 2.59-2.62
Cu 0.5000 0.2498 0.6547  4 Cu 2.52-2.53, 4 Ga 2.59-2.62, 4 Ni 2.59-2.62
Cu 0.0000 0.7498 0.3453  4 Cu 2.52-2.53, 4 Ga 2.59-2.62, 4 Ni 2.59-2.62


(3)
Density functional theory data (GGA-PBE) for crystalline GaCuNi2 at its relaxed geometry.

Values from the calculation:
Total magnetic moment = 0.00 μB/atom
Uncorrected energy = -4.60 eV per atom

a b c (Å): 4.0115 4.0115 7.2956
angles (deg): 90.00 90.00 120.00
Closest atoms and distances in Å follow each position.
Fractional coordinates of all 8 atoms:
Ni 0.3333 0.6667 0.9153  3 Ga 2.40, 4 Ni 2.41-2.63, 4 Cu 2.44-2.61
Ni 0.3333 0.6667 0.5847  3 Ga 2.40, 4 Ni 2.41-2.63, 4 Cu 2.44-2.61
Ni 0.6667 0.3333 0.0847  3 Ga 2.40, 4 Ni 2.41-2.63, 4 Cu 2.44-2.61
Ni 0.6667 0.3333 0.4153  3 Ga 2.40, 4 Ni 2.41-2.63, 4 Cu 2.44-2.61
Ga 0.0000 0.0000 0.5000  6 Ni 2.40
Ga 0.0000 0.0000 0.0000  6 Ni 2.40
Cu 0.6667 0.3333 0.7500  8 Ni 2.44-2.61
Cu 0.3333 0.6667 0.2500  8 Ni 2.44-2.61